1.
Ni5As2O12 | PBE with a Hubbard U | optimized geometry

a b c (Å): 6.453 6.453 5.132
angles (deg): 85.44 85.44 86.44
Fractional positions:
Ni1 0.177 0.823 0.000
Ni2 0.823 0.177 0.000
Ni3 0.337 0.663 0.500
Ni4 0.663 0.337 0.500
Ni5 0.000 0.000 0.500
As1 0.684 0.684 0.949
As2 0.316 0.316 0.051
O1 0.210 0.529 0.874
O2 0.529 0.210 0.874
O3 0.790 0.471 0.126
O4 0.471 0.790 0.126
O5 0.871 0.871 0.888
O6 0.129 0.129 0.112
O7 0.620 0.620 0.641
O8 0.380 0.380 0.359
O9 0.077 0.742 0.356
O10 0.742 0.077 0.356
O11 0.923 0.258 0.644
O12 0.258 0.923 0.644

Output
total energy: -0.1918 hartree per atom



2.
NiAsO3 | PBE with a Hubbard U | optimized geometry

a b c (Å): 2.943 5.804 6.337
angles (deg): 89.25 103.43 90.00
Fractional positions:
Ni1 0.838 0.853 0.677
Ni2 0.162 0.147 0.323
As1 0.577 0.654 0.154
As2 0.423 0.346 0.846
O1 0.000 0.792 0.000
O2 0.000 0.208 0.000
O3 0.328 0.100 0.657
O4 0.672 0.900 0.343
O5 0.158 0.509 0.316
O6 0.842 0.491 0.684

Output
total energy: -0.1960 hartree per atom



3.
Ni2AsO4 | PBE with a Hubbard U | optimized geometry

a b c (Å): 5.392 5.593 6.469
angles (deg): 90.00 113.99 90.00
Fractional positions:
Ni1 0.721 0.750 0.007
Ni2 0.279 0.250 0.993
Ni3 0.877 0.250 0.360
Ni4 0.123 0.750 0.640
As1 0.292 0.750 0.189
As2 0.708 0.250 0.811
O1 0.500 0.505 0.217
O2 0.040 0.750 0.912
O3 0.960 0.250 0.088
O4 0.500 0.995 0.217
O5 0.934 0.250 0.680
O6 0.500 0.005 0.783
O7 0.500 0.495 0.783
O8 0.066 0.750 0.320

Output
energy above the most stable polymorph in this dataset: 0.066 eV/atom



4.
NiAsO2 | PBE with a Hubbard U | optimized geometry

a b c (Å): 6.202 6.202 6.202
angles (deg): 27.85 27.85 27.85
Fractional positions:
Ni1 0.500 0.500 0.500
As1 0.000 0.000 0.000
O1 0.894 0.894 0.894
O2 0.106 0.106 0.106

Output
total energy: -0.1865 hartree per atom